[1]
# ZrPaCuMo | Alexandria via LeMat-Bulk | PBE | optimized geometry
# Calculated volume: 77.7 Å³/f.u.
# DOS at the Fermi energy: 1.428 states/eV per atom
# Energy of formation: 0.048 eV/atom
# Raw total energy: -8.194 eV/atom
# Crystal system: cubic
data_ZrPaCuMo
_space_group_name_H-M_alt 'F -4 3 m'
_space_group_IT_number 216
_space_group_name_Hall 'F -4 2 3'
_cell_length_a 6.773
_cell_length_b 6.773
_cell_length_c 6.773
_cell_angle_alpha 90.00
_cell_angle_beta 90.00
_cell_angle_gamma 90.00
loop_
_atom_site_label
_atom_site_fract_x
_atom_site_fract_y
_atom_site_fract_z
Zr1 0.000 0.000 0.000
Pa1 0.000 0.000 0.500
Cu1 0.250 0.250 0.750
Mo1 0.250 0.250 0.250

[2]
# AgSn3F | Alexandria via LeMat-Bulk | PBE | optimized geometry
# Calculated volume: 121.1 Å³/f.u.
# DOS at the Fermi energy: 0.353 states/eV per atom
# Raw total energy: -3.589 eV/atom
# Crystal system: cubic
# Formation energy from raw total energies: -243.2 meV/atom
# Polymorph energy (0 for the lowest one): 0 meV/atom
data_AgSn3F
_space_group_name_H-M_alt 'P m -3 m'
_space_group_IT_number 221
_space_group_name_Hall '-P 4 2 3'
_cell_length_a 4.948
_cell_length_b 4.948
_cell_length_c 4.948
_cell_angle_alpha 90.00
_cell_angle_beta 90.00
_cell_angle_gamma 90.00
loop_
_atom_site_label
_atom_site_fract_x
_atom_site_fract_y
_atom_site_fract_z
Ag1 0.000 0.000 0.000
Sn1 0.000 0.500 0.500
F1 0.500 0.500 0.500